First-principles (PBE) data for a relaxed structure of Pa3Fe2Ni7, as listed in Alexandria.

The space group is R-3m (No. 166, hexagonal axes) and the conventional cell measures 4.8772, 4.8772 and 24.9735 Å, with angles of 90.00, 90.00 and 120.00 degrees. The asymmetric unit holds Pa at (0.0000, 0.0000, 0.0000), Pa at (0.0000, 0.0000, 0.1387), Fe at (0.0000, 0.0000, 0.3328), Ni at (0.0000, 0.0000, 0.5000) and Ni at (0.9998, 0.4999, 0.0828).

The size of the total moment comes out at 3.46 μB per formula unit. As for the calculated formation energy: -340.4 meV/atom.